A plane-wave DFT calculation with PBE was carried out for ScCuCl2 after structural relaxation.

Output
DOS at the Fermi energy = 0.396 states/eV/atom
space group = I4/mmm (139)
formation energy without anion corrections = -0.60 eV/atom
E_tot = -16.5 eV per cell
energy above the lowest structure with this stoichiometry = 1.70 eV per formula unit

Geometry as extended XYZ:
```
4
Lattice="-2.181 2.181 3.728 2.181 -2.181 3.728 2.181 2.181 -3.728" Properties=species:S:1:pos:R:3 pbc="T T T"
Sc 0.000 0.000 0.000
Cu 0.000 0.000 3.728
Cl 2.181 0.000 1.864
Cl 0.000 2.181 1.864
```

A plane-wave DFT calculation with PBE was carried out for ScCu2Cl after structural relaxation.

Output
DOS at the Fermi energy = 0.768 states/eV/atom
space group = P4mm (99)
formation energy without anion corrections = -0.42 eV/atom
E_tot = -18.1 eV per cell
energy above the lowest structure with this stoichiometry = 0.05 eV per formula unit

Geometry as extended XYZ:
```
4
Lattice="3.189 0.000 0.000 0.000 3.189 0.000 0.000 0.000 7.872" Properties=species:S:1:pos:R:3 pbc="T T T"
Sc 0.000 0.000 0.000
Cu 0.000 0.000 5.137
Cu 1.594 1.594 6.103
Cl 1.594 1.594 1.534
```

A plane-wave DFT calculation with PBE was carried out for ScCu2Cl after structural relaxation.

Output
DOS at the Fermi energy = 0.452 states/eV/atom
space group = Fm-3m (225)
formation energy without anion corrections = 0.19 eV/atom
E_tot = -15.6 eV per cell
energy above the lowest structure with this stoichiometry = 2.52 eV per formula unit

Geometry as extended XYZ:
```
4
Lattice="0.000 3.274 3.274 3.274 0.000 3.274 3.274 3.274 0.000" Properties=species:S:1:pos:R:3 pbc="T T T"
Sc 0.000 0.000 0.000
Cu 1.637 1.637 1.637
Cu 4.911 4.911 4.911
Cl 3.274 3.274 3.274
```

A plane-wave DFT calculation with PBE was carried out for ScCu3Cl9 after structural relaxation.

Output
DOS at the Fermi energy = 0.815 states/eV/atom
space group = Cc (9)
formation energy without anion corrections = -0.90 eV/atom
E_tot = -93.8 eV per cell

Geometry as extended XYZ:
```
26
Lattice="8.520 -4.394 0.000 8.520 4.394 0.000 -7.319 0.000 9.606" Properties=species:S:1:pos:R:3 pbc="T T T"
Sc 4.860 2.443 4.803
Sc 8.520 -2.443 0.000
Cu -3.702 1.096 7.971
Cu -0.042 -1.096 3.168
Cu 1.303 0.658 6.429
Cu 4.962 -0.658 1.626
Cu 10.994 0.486 2.072
Cu 7.335 -0.486 6.875
Cl 0.923 0.457 1.777
Cl 6.244 3.558 3.014
Cl 4.977 1.021 0.137
Cl -2.737 -0.457 6.580
Cl 3.358 1.575 6.656
Cl 4.177 0.473 3.454
Cl 1.317 -1.021 4.940
Cl 0.517 -0.473 8.257
Cl 8.922 1.329 2.199
Cl 7.002 1.169 5.357
Cl 12.245 1.980 0.975
Cl 7.018 -1.575 1.853
Cl 5.262 -1.329 7.002
Cl 10.662 -1.169 0.554
Cl 7.944 0.345 8.920
Cl 11.604 -0.345 4.117
Cl 2.584 -3.558 7.817
Cl 8.586 -1.980 5.778
```